Record 1
The following is a PBE calculation of a relaxed SrScGa2 crystal, from Alexandria via LeMat-Bulk.

Summary:
The calculation puts the electronic total energy at -15.92 eV per formula unit. The energy of formation from the pure elements comes out at -1.86 eV per formula unit. The magnetization is 0.0 μB per formula unit.

Cell and atoms, written as POSCAR:
```
SrScGa2
1.0
3.594 0.000 0.000
0.000 3.594 0.000
0.000 0.000 7.304
Sc Sr Ga
1 1 2
Direct
0.500 0.500 0.000
0.500 0.500 0.500
0.000 0.000 0.799
0.000 0.000 0.201
```

***

Record 2
The following is a PBE calculation of a relaxed SrSc2Ga2 crystal, from Alexandria via LeMat-Bulk.

Summary:
The relative energy among the computed polymorphs is 26 meV per atom. The calculation puts the electronic total energy at -22.10 eV per formula unit. The energy of formation from the pure elements comes out at -1.70 eV per formula unit. The magnetization is 0.0 μB per formula unit.

Cell and atoms, written as POSCAR:
```
SrSc2Ga2
1.0
-1.736 -2.295 3.500
3.895 0.502 2.261
-1.023 4.417 5.322
Sc Sr Ga
2 1 2
Direct
0.750 0.250 0.500
0.250 0.750 0.500
0.000 0.000 0.000
0.394 0.394 0.211
0.606 0.606 0.789
```

***

Record 3
The following is a PBE calculation of a relaxed SrScGa3 crystal, from Alexandria via LeMat-Bulk.

Summary:
The relative energy among the computed polymorphs is 944 meV per atom. The calculation puts the electronic total energy at -12.55 eV per formula unit. The energy of formation from the pure elements comes out at 4.55 eV per formula unit. The magnetization is 0.0 μB per formula unit.

Cell and atoms, written as POSCAR:
```
SrScGa3
1.0
-1.741 -3.304 3.998
5.169 -0.756 1.626
-0.430 4.295 3.362
Sc Sr Ga
1 1 3
Direct
0.500 0.500 0.500
0.000 0.000 0.000
0.000 0.500 0.000
0.000 0.000 0.500
0.500 0.000 0.000
```

***

Record 4
The following is a PBE calculation of a relaxed SrScGa2 crystal, from Alexandria via LeMat-Bulk.

Summary:
The calculation puts the electronic total energy at -15.27 eV per formula unit. The energy of formation from the pure elements comes out at -1.20 eV per formula unit. The magnetization is 0.0 μB per formula unit.

Cell and atoms, written as POSCAR:
```
SrScGa2
1.0
-0.521 2.724 2.214
-4.454 -2.125 1.568
2.529 -2.548 3.731
Sc Sr Ga
1 1 2
Direct
0.500 0.500 0.500
0.500 0.000 0.000
0.000 0.000 0.500
0.000 0.500 0.000
```

***

Record 5
The following is a PBE calculation of a relaxed SrScGa4 crystal, from Alexandria via LeMat-Bulk.

Summary:
The relative energy among the computed polymorphs is 0 meV per atom. The calculation puts the electronic total energy at -23.09 eV per formula unit. The energy of formation from the pure elements comes out at -2.97 eV per formula unit. The magnetization is 0.0 μB per formula unit.

Cell and atoms, written as POSCAR:
```
SrScGa4
1.0
4.314 0.000 0.000
-2.157 3.736 0.000
0.000 0.000 8.140
Sr Sc Ga
1 1 4
Direct
0.000 0.000 0.500
0.000 0.000 0.000
0.333 0.667 0.210
0.333 0.667 0.790
0.667 0.333 0.210
0.667 0.333 0.790
```

***

Record 6
The following is a PBE calculation of a relaxed SrScGa2 crystal, from Alexandria via LeMat-Bulk.

Summary:
The calculation puts the electronic total energy at -14.84 eV per formula unit. The energy of formation from the pure elements comes out at -0.77 eV per formula unit. The magnetization is 0.0 μB per formula unit.

Cell and atoms, written as POSCAR:
```
SrScGa2
1.0
3.629 0.000 0.000
1.815 3.143 0.000
1.815 1.048 9.027
Sc Sr Ga
1 1 2
Direct
0.000 0.000 0.000
0.500 0.500 0.500
0.259 0.259 0.224
0.741 0.741 0.776
```

***

Record 7
The following is a PBE calculation of a relaxed Sr2ScGa crystal, from Alexandria via LeMat-Bulk.

Summary:
The calculation puts the electronic total energy at -11.66 eV per formula unit. The energy of formation from the pure elements comes out at 1.07 eV per formula unit. The magnetization is 0.0 μB per formula unit.

Cell and atoms, written as POSCAR:
```
Sr2ScGa
1.0
9.209 0.000 0.000
0.000 9.209 0.000
4.604 4.604 3.252
Sc Sr Ga
2 4 2
Direct
0.500 0.500 0.000
0.250 0.750 0.500
0.674 0.125 0.250
0.076 0.625 0.250
0.375 0.326 0.750
0.875 0.924 0.750
0.000 0.000 0.000
0.750 0.250 0.500
```

***

Record 8
The following is a PBE calculation of a relaxed SrSc2Ga2 crystal, from Alexandria via LeMat-Bulk.

Summary:
The relative energy among the computed polymorphs is 0 meV per atom. The calculation puts the electronic total energy at -22.23 eV per formula unit. The energy of formation from the pure elements comes out at -1.83 eV per formula unit. The magnetization is 0.0 μB per formula unit.

Cell and atoms, written as POSCAR:
```
SrSc2Ga2
1.0
-4.059 0.593 -7.455
-7.436 -1.227 3.951
-0.298 3.127 0.411
Sc Sr Ga
4 2 4
Direct
0.375 0.875 0.000
0.875 0.625 0.000
0.625 0.125 0.000
0.125 0.375 0.000
0.000 0.000 0.000
0.500 0.500 0.000
0.173 0.673 0.500
0.673 0.827 0.500
0.827 0.327 0.500
0.327 0.173 0.500
```

***

energy of formation from the pure elements of number 1 (SrScGa2)?
-1.86 eV per formula unit

***

What is the energy of formation from the pure elements in the fifth record?
-2.97 eV per formula unit

***

Which value of magnetization does entry 4 give?
0.0 μB per formula unit

***

Number 7 is which compound?
Sr2ScGa